[1]
This record from Alexandria describes an optimized crystal structure of PmTm2RuO8. The functional is GGA-PBE.

Cell: 5.0110 6.7786 5.0239 Å, 90.00 90.21 90.00°
Fractional positions:
Pm1 0.0000 0.0000 0.0000
Tm1 0.5000 0.2494 0.5000
Tm2 0.5000 0.7506 0.5000
Ru1 0.0000 0.5000 0.0000
O1 0.1886 0.2949 0.1868
O2 0.1886 0.7051 0.1868
O3 0.2690 0.5000 0.7298
O4 0.3153 0.0000 0.6831
O5 0.6847 0.0000 0.3169
O6 0.7310 0.5000 0.2702
O7 0.8114 0.2949 0.8132
O8 0.8114 0.7051 0.8132

Output
For the formation energy from raw total energies, the calculation gives -2400 meV per atom. The value obtained for the mass density is 6.93 g/cm³. The total magnetization is 1.0 μB per formula unit.

---

[2]
This record from Alexandria describes an optimized crystal structure of Pm2TmRuO8. The functional is GGA-PBE.

Cell: 5.1251 6.8267 5.1333 Å, 90.00 90.81 90.00°
Fractional positions:
Pm1 0.0000 0.2497 0.0000
Pm2 0.0000 0.7503 0.0000
Tm1 0.5000 0.0000 0.5000
Ru1 0.5000 0.5000 0.5000
O1 0.2008 0.0000 0.1992
O2 0.2408 0.5000 0.2394
O3 0.3218 0.2868 0.6767
O4 0.3218 0.7132 0.6767
O5 0.6782 0.2868 0.3233
O6 0.6782 0.7132 0.3233
O7 0.7592 0.5000 0.7606
O8 0.7992 0.0000 0.8008

Output
For the formation energy from raw total energies, the calculation gives -2326 meV per atom. The value obtained for the mass density is 6.36 g/cm³. The total magnetization is 1.0 μB per formula unit.

---

- Among the records above, which one has the highest formation energy from raw total energies?
  Pm2TmRuO8

---

Please write out number 2 again, unchanged.
This record from Alexandria describes an optimized crystal structure of Pm2TmRuO8. The functional is GGA-PBE.

Cell: 5.1251 6.8267 5.1333 Å, 90.00 90.81 90.00°
Fractional positions:
Pm1 0.0000 0.2497 0.0000
Pm2 0.0000 0.7503 0.0000
Tm1 0.5000 0.0000 0.5000
Ru1 0.5000 0.5000 0.5000
O1 0.2008 0.0000 0.1992
O2 0.2408 0.5000 0.2394
O3 0.3218 0.2868 0.6767
O4 0.3218 0.7132 0.6767
O5 0.6782 0.2868 0.3233
O6 0.6782 0.7132 0.3233
O7 0.7592 0.5000 0.7606
O8 0.7992 0.0000 0.8008

Output
For the formation energy from raw total energies, the calculation gives -2326 meV per atom. The value obtained for the mass density is 6.36 g/cm³. The total magnetization is 1.0 μB per formula unit.